Record 1
The following is a DFT calculation (PBE) of a geometry-optimized CrTcTe2I structure.

Calculated values
N(E_F) = 7.21 states/eV/f.u.
energy = -22.064 eV for the cell shown
energy relative to the elements, uncorrected = 1152 meV/atom
E above lowest polymorph = 0 meV/atom
space group = P4/mmm (123)

Cell and atoms, written as CIF:
```
data_CrTcTe2I
_cell_length_a 5.0097
_cell_length_b 5.0097
_cell_length_c 5.6559
_cell_angle_alpha 90.00
_cell_angle_beta 90.00
_cell_angle_gamma 90.00
_space_group_name_H-M_alt 'P 1'
_space_group_IT_number 1
loop_
_space_group_symop_operation_xyz
'x,y,z'
loop_
_atom_site_label
_atom_site_type_symbol
_atom_site_fract_x
_atom_site_fract_y
_atom_site_fract_z
Te1 Te 0.5000 0.0000 0.0000
Te2 Te 0.0000 0.5000 0.0000
Tc1 Tc 0.5000 0.5000 0.5000
I1 I 0.0000 0.0000 0.5000
Cr1 Cr 0.0000 0.0000 0.0000
```

Record 2
The following is a DFT calculation (PBE) of a geometry-optimized TlZnRh2 structure.

Calculated values
N(E_F) = 1.05 states/eV/f.u.
formation energy from the elements = -138 meV per atom
energy = -18.893 eV for the cell shown
space group = P4/mmm (123)

Cell and atoms, written as CIF:
```
data_TlZnRh2
_cell_length_a 3.1698
_cell_length_b 3.1683
_cell_length_c 6.3373
_cell_angle_alpha 90.00
_cell_angle_beta 90.00
_cell_angle_gamma 90.00
_space_group_name_H-M_alt 'P 1'
_space_group_IT_number 1
loop_
_space_group_symop_operation_xyz
'x,y,z'
loop_
_atom_site_label
_atom_site_type_symbol
_atom_site_fract_x
_atom_site_fract_y
_atom_site_fract_z
Tl1 Tl 0.5000 0.5000 0.2500
Rh1 Rh 0.0000 0.0000 0.9784
Rh2 Rh 0.0000 0.0000 0.5216
Zn1 Zn 0.5000 0.5000 0.7500
```

Record 3
The following is a DFT calculation (PBE) of a geometry-optimized KFe2Os structure.

Calculated values
N(E_F) = 11.91 states/eV/f.u.
formation energy from the elements = 1633 meV per atom
energy = -22.722 eV for the cell shown
E above lowest polymorph = 931 meV/atom
space group = Fm-3m (225)

Cell and atoms, written as CIF:
```
data_KFe2Os
_cell_length_a 4.3658
_cell_length_b 4.3658
_cell_length_c 4.3658
_cell_angle_alpha 60.00
_cell_angle_beta 60.00
_cell_angle_gamma 60.00
_space_group_name_H-M_alt 'P 1'
_space_group_IT_number 1
loop_
_space_group_symop_operation_xyz
'x,y,z'
loop_
_atom_site_label
_atom_site_type_symbol
_atom_site_fract_x
_atom_site_fract_y
_atom_site_fract_z
Fe1 Fe 0.2500 0.2500 0.2500
Fe2 Fe 0.7500 0.7500 0.7500
Os1 Os 0.5000 0.5000 0.5000
K1 K 0.0000 0.0000 0.0000
```